*A*
Below is an optimized crystal structure of Nb2As2O5, with properties calculated at the GGA-PBE level.

Cell lengths 8.4465, 3.6007, 3.6007 Å; angles 90.00, 90.00, 90.00 degrees
Positions (direct):
As1 0.0000 0.0000 0.0000
As2 0.5000 0.0000 0.0000
Nb1 0.2091 0.5000 0.5000
Nb2 0.7909 0.5000 0.5000
O1 0.3028 0.5000 0.0000
O2 0.6972 0.5000 0.0000
O3 0.3028 0.0000 0.5000
O4 0.6972 0.0000 0.5000
O5 0.5000 0.5000 0.5000

Properties
- Symmetry: No. 123

***

*B*
Below is an optimized crystal structure of Nb2As2O5, with properties calculated at the GGA-PBE level.

Cell lengths 6.6052, 4.0457, 4.0457 Å; angles 90.00, 90.00, 90.00 degrees
Positions (direct):
As1 0.2045 0.5000 0.5000
As2 0.7955 0.5000 0.5000
Nb1 0.0000 0.0000 0.0000
Nb2 0.5000 0.0000 0.0000
O1 0.1970 0.5000 0.0000
O2 0.8030 0.5000 0.0000
O3 0.1970 0.0000 0.5000
O4 0.8030 0.0000 0.5000
O5 0.5000 0.5000 0.5000

Properties
- Symmetry: No. 123

***

Here is how they stack up, most stable first: *A*, *B*.